[1]
5
Lattice="4.6933 0.0000 0.0000 0.0000 5.8717 0.0000 0.0000 0.0000 4.6933" Properties=species:S:1:pos:R:3 comment="CaB2SbAu (PBE, optimized geometry)" e_form_raw_mev_per_atom=2023 n_ef_per_ev_fu=4.34 volume_a3_per_atom=25.87 pbc="T T T"
Sb 0.0000 2.9359 0.0000
B 0.0000 0.0000 2.3467
B 2.3467 0.0000 0.0000
Au 2.3467 2.9359 2.3467
Ca 0.0000 0.0000 0.0000


[2]
20
Lattice="-3.2736 -2.6229 -2.6161 7.8891 -2.9631 -6.9008 2.0932 -8.7443 6.1477" Properties=species:S:1:pos:R:3 comment="La2Pr2SmCd5 (PBE, optimized geometry)" e_tot_ev_per_atom=-3.0661 n_ef_per_ev_fu=6.88 volume_a3_per_atom=29.33 pbc="T T T"
Pr 6.7655 -9.5000 1.0589
Pr 3.2168 -2.2074 -1.8121
Pr 7.6823 -5.8653 -3.7324
Pr 2.2999 -5.8421 2.9793
Cd 0.0045 -2.4816 -2.1886
Cd 2.4086 -5.3012 -2.3700
Cd 2.0044 -7.2118 0.0514
Cd 4.3001 -9.0291 -0.9993
Cd 4.7044 -7.1185 -3.4207
Cd 2.3078 -2.7930 -4.7585
Cd -0.5902 -5.6836 1.7658
Cd 0.6085 -8.6042 3.1939
Cd 6.1002 -5.7262 -6.5632
Cd 6.7042 -11.8487 -1.1807
La 2.0638 -3.3576 0.7838
La 4.2859 -8.1713 2.8294
La 5.6964 -3.5362 -3.5826
La 7.9185 -8.3499 -1.5370
Sm 0.0000 0.0000 0.0000
Sm 4.9911 -5.8537 -0.3766


[3]
4
Lattice="-1.7548 -1.7612 2.2064 3.9932 -5.0152 -0.8273 5.4957 -2.1068 2.6893" Properties=species:S:1:pos:R:3 comment="FeHgSb2 (PBE, optimized geometry)" e_form_raw_mev_per_atom=259 n_ef_per_ev_fu=3.22 volume_a3_per_atom=23.97 pbc="T T T"
Fe 4.5914 -3.4481 0.8993
Sb 0.1152 -0.0890 0.0206
Sb 2.2261 -3.2080 1.7138
Hg 5.5457 -5.6991 2.3655


[4]
4
Lattice="0.0000 3.1666 3.1666 3.1666 0.0000 3.1666 3.1666 3.1666 0.0000" Properties=species:S:1:pos:R:3 comment="Li2AsS (PBE, optimized geometry)" relative_energy_ev_per_fu=0.44 e_form_raw_mev_per_atom=-385 n_ef_per_ev_fu=1.91 volume_a3_per_atom=15.88 pbc="T T T"
Li 1.5833 1.5833 1.5833
Li 4.7498 4.7498 4.7498
As 3.1666 3.1666 3.1666
S 0.0000 0.0000 0.0000


[5]
4
Lattice="3.9177 0.0000 0.0000 0.0000 2.8998 -0.0162 0.0000 1.6144 5.7561" Properties=species:S:1:pos:R:3 comment="Al2CuAs (PBE, optimized geometry)" e_tot_ev_per_atom=-4.0330 n_ef_per_ev_fu=0.96 volume_a3_per_atom=16.37 pbc="T T T"
Al 0.0000 4.3510 5.5110
Al 1.9589 1.2785 1.4432
As 0.0000 2.7675 2.6967
Cu 1.9589 2.8885 4.6988


| no. | spin magnetization (μB/f.u.) |
| --- | --- |
| 1 | 0.28 |
| 2 | 0.00 |
| 3 | 0.99 |
| 4 | 0.00 |
| 5 | 0.00 |